Entry 1:
The following is a PBE-GGA calculation of an optimized crystal structure of Pa4GeCSe2, from Alexandria via LeMat-Bulk. Values from VASP.

Structure (Quantum ESPRESSO input):
```
&SYSTEM
  ibrav = 0, nat = 8, ntyp = 4
/
ATOMIC_SPECIES
Pa 231.04 Pa.upf
Ge 72.64 Ge.upf
C 12.01 C.upf
Se 78.96 Se.upf
CELL_PARAMETERS angstrom
-0.181 0.125 3.874
-0.307 -6.929 0.209
6.722 1.886 0.254
ATOMIC_POSITIONS crystal
Pa 0.500 0.270 0.229
Pa 0.500 0.730 0.771
Pa 0.000 0.286 0.786
Pa 0.000 0.714 0.214
Ge 0.000 0.000 0.000
C 0.500 0.500 0.000
Se 0.500 0.000 0.500
Se 0.000 0.500 0.500
```

## Properties
Uncorrected formation energy (eV per atom): -0.815

Entry 2:
The following is a PBE-GGA calculation of an optimized crystal structure of Cs2YBiI6, from Alexandria via LeMat-Bulk. Values from VASP.

Structure (Quantum ESPRESSO input):
```
&SYSTEM
  ibrav = 0, nat = 10, ntyp = 4
/
ATOMIC_SPECIES
I 126.90 I.upf
Y 88.91 Y.upf
Cs 132.91 Cs.upf
Bi 208.98 Bi.upf
CELL_PARAMETERS angstrom
8.659 0.000 0.000
0.000 8.659 0.000
4.329 4.329 7.211
ATOMIC_POSITIONS crystal
I 0.290 0.290 0.420
I 0.747 0.253 0.000
I 0.710 0.710 0.580
I 0.747 0.747 0.000
I 0.253 0.253 0.000
I 0.253 0.747 0.000
Y 0.500 0.500 0.000
Cs 0.750 0.250 0.500
Cs 0.250 0.750 0.500
Bi 0.000 0.000 0.000
```

## Properties
Uncorrected formation energy (eV per atom): -1.062

Entry 3:
The following is a PBE-GGA calculation of an optimized crystal structure of ScMoSe2Br, from Alexandria via LeMat-Bulk. Values from VASP.

Structure (Quantum ESPRESSO input):
```
&SYSTEM
  ibrav = 0, nat = 5, ntyp = 4
/
ATOMIC_SPECIES
Sc 44.96 Sc.upf
Br 79.90 Br.upf
Mo 95.94 Mo.upf
Se 78.96 Se.upf
CELL_PARAMETERS angstrom
-3.482 -2.207 -2.828
2.483 -4.327 0.321
-2.612 -1.191 4.144
ATOMIC_POSITIONS crystal
Sc 0.500 0.500 0.500
Br 0.000 0.000 0.500
Mo 0.000 0.000 0.000
Se 0.000 0.500 0.000
Se 0.500 0.000 0.000
```

## Properties
Uncorrected formation energy (eV per atom): -0.007

Entry 4:
The following is a PBE-GGA calculation of an optimized crystal structure of Cd2H3Pd9, from Alexandria via LeMat-Bulk. Values from VASP.

Structure (Quantum ESPRESSO input):
```
&SYSTEM
  ibrav = 0, nat = 28, ntyp = 3
/
ATOMIC_SPECIES
Cd 112.41 Cd.upf
H 1.01 H.upf
Pd 106.42 Pd.upf
CELL_PARAMETERS angstrom
7.272 -0.310 -2.329
-5.006 6.918 -0.884
0.240 -1.211 7.993
ATOMIC_POSITIONS crystal
Cd 0.093 0.475 0.171
Cd 0.005 0.666 0.926
Cd 0.253 0.094 0.601
Cd 0.474 0.748 0.066
H 0.154 0.223 0.080
H 0.681 0.126 0.000
H 0.555 0.572 0.550
H 0.645 0.353 0.808
H 0.221 0.690 0.614
H 0.749 0.201 0.507
Pd 0.360 0.928 0.839
Pd 0.637 0.377 0.517
Pd 0.906 0.836 0.700
Pd 0.727 0.199 0.748
Pd 0.541 0.554 0.787
Pd 0.910 0.832 0.201
Pd 0.360 0.919 0.334
Pd 0.180 0.282 0.382
Pd 0.462 0.744 0.567
Pd 0.724 0.196 0.249
Pd 0.634 0.384 0.024
Pd 0.185 0.293 0.888
Pd 0.991 0.651 0.426
Pd 0.090 0.462 0.657
Pd 0.821 0.013 0.972
Pd 0.813 0.013 0.475
Pd 0.278 0.107 0.115
Pd 0.552 0.564 0.296
```

## Properties
Energy (eV/atom): -4.360

Entry 5:
The following is a PBE-GGA calculation of an optimized crystal structure of CaLa3, from Alexandria via LeMat-Bulk. Values from VASP.

Structure (Quantum ESPRESSO input):
```
&SYSTEM
  ibrav = 0, nat = 4, ntyp = 2
/
ATOMIC_SPECIES
La 138.91 La.upf
Ca 40.08 Ca.upf
CELL_PARAMETERS angstrom
-0.023 -2.359 2.911
-0.756 -2.848 -2.314
10.603 -1.739 -1.326
ATOMIC_POSITIONS crystal
La 0.500 0.500 0.267
La 0.500 0.500 0.733
La 0.000 0.000 0.500
Ca 0.000 0.000 0.000
```

## Properties
ΔH_f (0 K) (eV/f.u.): 0.107

Entry 6:
The following is a PBE-GGA calculation of an optimized crystal structure of MgMnSnRu, from Alexandria via LeMat-Bulk. Values from VASP.

Structure (Quantum ESPRESSO input):
```
&SYSTEM
  ibrav = 0, nat = 4, ntyp = 4
/
ATOMIC_SPECIES
Mg 24.30 Mg.upf
Ru 101.07 Ru.upf
Sn 118.71 Sn.upf
Mn 54.94 Mn.upf
CELL_PARAMETERS angstrom
4.522 0.000 0.000
2.261 3.916 0.000
2.261 1.305 3.692
ATOMIC_POSITIONS crystal
Mg 0.250 0.250 0.250
Ru 0.000 0.000 0.000
Sn 0.750 0.750 0.750
Mn 0.500 0.500 0.500
```

## Properties
ΔH_f (0 K) (eV/f.u.): -0.147

Entry 7:
The following is a PBE-GGA calculation of an optimized crystal structure of LaHfZr, from Alexandria via LeMat-Bulk. Values from VASP.

Structure (Quantum ESPRESSO input):
```
&SYSTEM
  ibrav = 0, nat = 3, ntyp = 3
/
ATOMIC_SPECIES
Hf 178.49 Hf.upf
La 138.91 La.upf
Zr 91.22 Zr.upf
CELL_PARAMETERS angstrom
-2.720 1.635 -0.678
-1.554 -2.801 -0.520
0.154 0.322 7.931
ATOMIC_POSITIONS crystal
Hf 0.680 0.680 0.361
La 0.002 0.002 0.004
Zr 0.318 0.318 0.635
```

## Properties
ΔH_f (0 K) (eV/f.u.): 0.405

Entry 8:
The following is a PBE-GGA calculation of an optimized crystal structure of Zr2Nb2Re, from Alexandria via LeMat-Bulk. Values from VASP.

Structure (Quantum ESPRESSO input):
```
&SYSTEM
  ibrav = 0, nat = 10, ntyp = 3
/
ATOMIC_SPECIES
Zr 91.22 Zr.upf
Nb 92.91 Nb.upf
Re 186.21 Re.upf
CELL_PARAMETERS angstrom
-4.973 -1.199 0.180
1.187 -4.259 4.410
0.998 7.111 2.177
ATOMIC_POSITIONS crystal
Zr 0.904 0.041 0.809
Zr 0.596 0.233 0.191
Zr 0.096 0.959 0.191
Zr 0.404 0.767 0.809
Nb 0.680 0.816 0.361
Nb 0.820 0.455 0.639
Nb 0.180 0.545 0.361
Nb 0.320 0.184 0.639
Re 0.250 0.500 0.000
Re 0.750 0.500 0.000
```

## Properties
ΔH_f (0 K) (eV/f.u.): 1.121

Entry 9:
The following is a PBE-GGA calculation of an optimized crystal structure of YTaPb2, from Alexandria via LeMat-Bulk. Values from VASP.

Structure (Quantum ESPRESSO input):
```
&SYSTEM
  ibrav = 0, nat = 4, ntyp = 3
/
ATOMIC_SPECIES
Ta 180.95 Ta.upf
Pb 207.20 Pb.upf
Y 88.91 Y.upf
CELL_PARAMETERS angstrom
5.391 0.000 0.000
0.000 3.337 0.057
0.000 1.575 5.763
ATOMIC_POSITIONS crystal
Ta 0.000 0.317 0.494
Pb 0.000 0.057 0.007
Pb 0.500 0.429 0.268
Y 0.500 0.697 0.730
```

## Properties
ΔH_f (0 K) (eV/f.u.): 0.965

Entry 10:
The following is a PBE-GGA calculation of an optimized crystal structure of NpCuPdRh, from Alexandria via LeMat-Bulk. Values from VASP.

Structure (Quantum ESPRESSO input):
```
&SYSTEM
  ibrav = 0, nat = 4, ntyp = 4
/
ATOMIC_SPECIES
Cu 63.55 Cu.upf
Rh 102.91 Rh.upf
Pd 106.42 Pd.upf
Np 237.00 Np.upf
CELL_PARAMETERS angstrom
4.588 0.000 0.000
2.294 3.973 0.000
2.294 1.324 3.746
ATOMIC_POSITIONS crystal
Cu 0.250 0.250 0.250
Rh 0.000 0.000 0.000
Pd 0.500 0.500 0.500
Np 0.750 0.750 0.750
```

## Properties
ΔH_f (0 K) (eV/f.u.): -0.703

Entry 11:
The following is a PBE-GGA calculation of an optimized crystal structure of TiAgP3, from Alexandria via LeMat-Bulk. Values from VASP.

Structure (Quantum ESPRESSO input):
```
&SYSTEM
  ibrav = 0, nat = 5, ntyp = 3
/
ATOMIC_SPECIES
Ti 47.87 Ti.upf
P 30.97 P.upf
Ag 107.87 Ag.upf
CELL_PARAMETERS angstrom
-0.910 3.659 -2.838
-3.935 0.913 2.439
2.441 2.837 2.875
ATOMIC_POSITIONS crystal
Ti 0.500 0.500 0.500
P 0.500 0.000 0.000
P 0.000 0.000 0.500
P 0.000 0.500 0.000
Ag 0.000 0.000 0.000
```

## Properties
ΔH_f (0 K) (eV/f.u.): 5.596

Entry 12:
The following is a PBE-GGA calculation of an optimized crystal structure of KZr3H, from Alexandria via LeMat-Bulk. Values from VASP.

Structure (Quantum ESPRESSO input):
```
&SYSTEM
  ibrav = 0, nat = 5, ntyp = 3
/
ATOMIC_SPECIES
Zr 91.22 Zr.upf
H 1.01 H.upf
K 39.10 K.upf
CELL_PARAMETERS angstrom
4.689 0.000 0.000
0.000 4.689 0.000
0.000 0.000 4.689
ATOMIC_POSITIONS crystal
Zr 0.000 0.500 0.000
Zr 0.500 0.000 0.000
Zr 0.000 0.000 0.500
H 0.000 0.000 0.000
K 0.500 0.500 0.500
```

## Properties
Energy (eV/atom): -5.445